! Na2HfScS4 PBE relaxed; values from VASP
&SYSTEM
  ibrav = 0, nat = 8, ntyp = 4
/
ATOMIC_SPECIES
Na 22.99 Na.upf
Hf 178.49 Hf.upf
Sc 44.96 Sc.upf
S 32.06 S.upf
ATOMIC_POSITIONS crystal
Na 0.5000 0.0000 0.5000
Na 0.0000 0.5000 0.5000
Hf 0.5000 0.5000 0.0000
Sc 0.0000 0.0000 0.0000
S 0.5000 0.2432 0.2194
S 0.5000 0.7568 0.7806
S 0.0000 0.2631 0.7800
S 0.0000 0.7369 0.2200
CELL_PARAMETERS angstrom
3.7017 0.0000 0.0000
0.0000 6.4368 0.1148
0.0000 -2.2520 6.6726
! Crystal system ... monoclinic
! Uncorrected formation energy ... -154.65 kJ per mole of atoms
! Calculated volume ... 160 Å³/cell